Record 1
# AcHoTh (PBE-GGA, relaxed)
# Polymorph energy (0 for the lowest one): 0.0 meV/atom
# ΔH_f (0 K): 0.090 eV per atom
data_AcHoTh
_cell_length_a 3.709
_cell_length_b 3.709
_cell_length_c 15.591
_cell_angle_alpha 90.00
_cell_angle_beta 90.00
_cell_angle_gamma 90.00
_symmetry_space_group_name_H-M 'I 4 m m'
_symmetry_Int_Tables_number 107
_symmetry_space_group_name_Hall 'I 4 -2'
loop_
_atom_site_label
_atom_site_fract_x
_atom_site_fract_y
_atom_site_fract_z
Ac1 0.000 0.000 0.000
Ho1 0.000 0.000 0.683
Th1 0.000 0.000 0.332

---

Record 2
# AcHo2Th (PBE-GGA, relaxed)
# Polymorph energy (0 for the lowest one): 0.0 meV/atom
# ΔH_f (0 K): 0.040 eV per atom
data_AcHo2Th
_cell_length_a 3.689
_cell_length_b 3.689
_cell_length_c 10.137
_cell_angle_alpha 90.00
_cell_angle_beta 90.00
_cell_angle_gamma 90.00
_symmetry_space_group_name_H-M 'P 4/m m m'
_symmetry_Int_Tables_number 123
_symmetry_space_group_name_Hall '-P 4 2'
loop_
_atom_site_label
_atom_site_fract_x
_atom_site_fract_y
_atom_site_fract_z
Ac1 0.000 0.000 0.000
Ho1 0.500 0.500 0.270
Th1 0.000 0.000 0.500

---

Record 3
# AcHo12Th5 (PBE-GGA, relaxed)
# ΔH_f (0 K): 0.043 eV per atom
data_AcHo12Th5
_cell_length_a 14.964
_cell_length_b 15.249
_cell_length_c 5.077
_cell_angle_alpha 90.00
_cell_angle_beta 90.00
_cell_angle_gamma 90.00
_symmetry_space_group_name_H-M 'C m m m'
_symmetry_Int_Tables_number 65
_symmetry_space_group_name_Hall '-C 2 2'
loop_
_atom_site_label
_atom_site_fract_x
_atom_site_fract_y
_atom_site_fract_z
Ac1 0.000 0.000 0.000
Ho1 0.163 0.335 0.500
Ho2 0.163 0.500 0.000
Ho3 0.164 0.170 0.000
Ho4 0.166 0.000 0.500
Th1 0.000 0.172 0.500
Th2 0.000 0.335 0.000
Th3 0.000 0.500 0.500

---

Record 4
# AcHo2Th (PBE-GGA, relaxed)
# Polymorph energy (0 for the lowest one): 22.8 meV/atom
# ΔH_f (0 K): 0.062 eV per atom
data_AcHo2Th
_cell_length_a 3.6676
_cell_length_b 3.6676
_cell_length_c 35.3944
_cell_angle_alpha 90.00
_cell_angle_beta 90.00
_cell_angle_gamma 120.00
_symmetry_space_group_name_H-M 'R 3 m'
_symmetry_Int_Tables_number 160
_symmetry_space_group_name_Hall 'R 3 -2"'
loop_
_atom_site_label
_atom_site_fract_x
_atom_site_fract_y
_atom_site_fract_z
Ac1 0.0000 0.0000 0.0000
Ho1 0.0000 0.0000 0.5776
Ho2 0.0000 0.0000 0.7546
Th1 0.0000 0.0000 0.1660